Record 1
NaOsS2 | the Alexandria database | PBE | optimized geometry; ΔE_f (raw) = 0.205 eV/atom
1.0
1.498 0.865 8.659
-1.498 0.865 8.659
0.000 -1.730 8.659
Na Os S
1 1 2
Cartesian
0.000 0.000 0.000 Na
0.000 0.000 12.988 Os
0.000 0.000 10.768 S
0.000 0.000 15.207 S

Record 2
Ti3IrPd2 | the Alexandria database | PBE | optimized geometry; VASP energy = -7.7976 eV per atom
1.0
2.874 0.000 0.000
0.000 2.874 0.000
0.000 0.000 11.256
Ti Ir Pd
3 1 2
Cartesian
0.000 0.000 0.000 Ti
0.000 0.000 3.853 Ti
0.000 0.000 7.403 Ti
1.437 1.437 5.628 Ir
1.437 1.437 1.906 Pd
1.437 1.437 9.350 Pd

Record 3
SrIr2Pb | the Alexandria database | PBE | optimized geometry; VASP energy = -5.4639 eV per atom
1.0
-2.317 2.317 3.831
2.317 -2.317 3.831
2.317 2.317 -3.831
Sr Ir Pb
1 2 1
Cartesian
0.000 0.000 0.000 Sr
2.317 0.000 1.916 Ir
0.000 2.317 1.916 Ir
0.000 0.000 3.831 Pb

Record 4
PmPrNdSn | the Alexandria database | PBE | optimized geometry; E above lowest polymorph = 0.63 eV/f.u.
1.0
0.000 3.947 3.947
3.947 0.000 3.947
3.947 3.947 0.000
Pm Pr Nd Sn
1 1 1 1
Cartesian
0.000 0.000 0.000 Pm
3.947 3.947 3.947 Pr
5.920 5.920 5.920 Nd
1.973 1.973 1.973 Sn

Record 5
Zr6Os2Rh | the Alexandria database | PBE | optimized geometry; VASP energy = -9.4129 eV per atom
1.0
0.000 5.300 7.033
2.345 0.000 7.033
2.345 5.300 0.000
Zr Os Rh
6 2 1
Cartesian
2.345 3.673 2.363 Zr
2.345 6.926 2.363 Zr
2.345 3.671 7.033 Zr
2.345 6.929 7.033 Zr
2.345 3.673 11.703 Zr
2.345 6.926 11.703 Zr
2.345 5.300 4.704 Os
2.345 5.300 9.362 Os
0.000 0.000 0.000 Rh

Record 6
Li2CuSi | the Alexandria database | PBE | optimized geometry; ΔE_f (raw) = 0.129 eV/atom
1.0
-3.575 3.575 2.329
3.575 -3.575 2.329
3.575 3.575 -2.329
Li Cu Si
4 2 2
Cartesian
5.362 1.658 -0.582 Li
1.658 1.787 0.582 Li
-1.787 1.916 1.747 Li
1.916 1.787 2.911 Li
0.000 0.000 0.000 Cu
0.000 3.575 1.164 Cu
3.575 0.000 1.164 Si
0.000 0.000 2.329 Si

Record 7
TbSm2Ho2Th2 | the Alexandria database | PBE | optimized geometry; VASP energy = -5.2658 eV per atom
1.0
8.866 -1.732 0.000
8.866 1.732 0.000
-3.999 0.000 7.536
Tb Sm Ho Th
1 2 2 2
Cartesian
0.000 0.000 0.000 Tb
5.791 0.000 0.946 Sm
7.942 0.000 6.590 Sm
2.531 0.000 2.255 Ho
11.201 0.000 5.280 Ho
5.323 0.000 4.474 Th
8.409 0.000 3.062 Th

Record 8
YHoEr5 | the Alexandria database | PBE | optimized geometry; E above lowest polymorph = 6.67 eV/f.u.
1.0
-2.881 4.286 5.951
2.881 -4.286 5.951
2.881 4.286 -5.951
Y Ho Er
1 1 5
Cartesian
0.000 0.000 0.000 Y
0.000 0.000 5.951 Ho
2.881 1.522 0.000 Er
0.000 0.000 3.050 Er
0.000 4.286 0.000 Er
0.000 0.000 8.852 Er
0.000 2.764 5.951 Er

Record 9
ScI3 | the Alexandria database | PBE | optimized geometry; ΔE_f (raw) = -0.328 eV/atom
1.0
0.000 3.950 3.950
3.950 0.000 3.950
3.950 3.950 0.000
Sc I
1 3
Cartesian
0.000 0.000 0.000 Sc
1.975 1.975 1.975 I
3.950 3.950 3.950 I
5.926 5.926 5.926 I

Record 10
SrSiAs3 | the Alexandria database | PBE | optimized geometry; E above lowest polymorph = 7.01 eV/f.u.; ΔE_f (raw) = 1.336 eV/atom
1.0
5.535 0.000 0.000
0.000 5.535 0.000
0.000 0.000 5.535
Sr Si As
1 1 3
Cartesian
0.000 0.000 0.000 Sr
2.767 2.767 2.767 Si
0.000 0.000 2.767 As
0.000 2.767 0.000 As
2.767 0.000 0.000 As

Record 11
La2SbSe | the Alexandria database | PBE | optimized geometry; E above lowest polymorph = 1.06 eV/f.u.; ΔE_f (raw) = -1.378 eV/atom
1.0
3.867 -3.869 0.000
3.867 3.869 0.000
-0.009 0.000 3.806
La Sb Se
2 1 1
Cartesian
1.933 1.934 0.000 La
1.933 -1.934 0.000 La
-0.004 0.000 1.903 Sb
3.863 0.000 1.903 Se

Record 12
Er3TaNb3N8 | the Alexandria database | PBE | optimized geometry; ΔE_f (raw) = -1.303 eV/atom
1.0
3.171 1.831 5.462
-3.171 1.831 5.462
0.000 -3.662 5.462
Er Ta Nb N
3 1 3 8
Cartesian
-1.586 -0.915 5.462 Er
-1.586 0.915 10.923 Er
0.000 1.831 5.462 Er
0.000 0.000 8.193 Ta
-3.171 0.000 8.193 Nb
-1.586 0.915 2.731 Nb
1.586 0.915 2.731 Nb
0.000 0.000 4.019 N
-1.534 -0.886 9.395 N
0.000 -1.772 6.991 N
-1.534 0.886 6.991 N
1.534 -0.886 9.395 N
0.000 1.772 9.395 N
1.534 0.886 6.991 N
0.000 0.000 12.367 N

Record 13
TiV6Os | the Alexandria database | PBE | optimized geometry; VASP energy = -9.1805 eV per atom
1.0
4.440 2.563 1.666
-4.440 2.563 1.666
0.000 -5.126 1.666
Ti V Os
1 6 1
Cartesian
0.000 0.000 0.000 Ti
0.000 -2.536 2.076 V
-2.196 1.268 2.076 V
-2.196 -1.268 2.921 V
2.196 1.268 2.076 V
2.196 -1.268 2.921 V
0.000 2.536 2.921 V
0.000 0.000 2.499 Os

Record 14
PdPtCl6 | the Alexandria database | PBE | optimized geometry; ΔE_f (raw) = -0.397 eV/atom
1.0
3.565 -5.117 0.000
3.565 5.117 0.000
-2.615 0.000 6.241
Pd Pt Cl
1 1 6
Cartesian
0.000 0.000 0.000 Pd
-1.307 0.000 3.120 Pt
1.205 3.548 4.537 Cl
3.311 3.548 1.704 Cl
0.569 0.000 4.537 Cl
3.947 0.000 1.704 Cl
1.205 -3.548 4.537 Cl
3.311 -3.548 1.704 Cl

Record 15
Rb2CaScO | the Alexandria database | PBE | optimized geometry; ΔE_f (raw) = -0.622 eV/atom
1.0
7.240 0.000 0.000
0.000 7.240 0.000
0.000 0.000 3.991
Rb Ca Sc O
2 1 1 1
Cartesian
0.000 3.620 0.000 Rb
3.620 0.000 0.000 Rb
0.000 0.000 1.995 Ca
3.620 3.620 1.995 Sc
3.620 3.620 0.000 O

Record 16
RbTbAg2F6 | the Alexandria database | PBE | optimized geometry; ΔE_f (raw) = -2.574 eV/atom
1.0
6.354 0.000 0.000
-3.173 5.512 0.000
-3.174 -1.830 5.500
Rb Tb Ag F
1 1 2 6
Cartesian
0.000 0.000 0.000 Rb
3.181 1.842 2.558 Tb
0.005 0.007 4.550 Ag
0.000 3.681 1.896 Ag
-1.508 2.031 1.094 F
-2.234 0.132 3.589 F
-2.158 3.513 3.584 F
2.511 0.304 1.098 F
2.178 3.190 1.099 F
1.236 1.886 3.596 F

Record 17
Ti2SnBC | the Alexandria database | PBE | optimized geometry; VASP energy = -6.9919 eV per atom
1.0
4.849 0.000 0.000
0.000 4.849 0.000
0.000 0.000 2.949
Ti Sn B C
2 1 1 1
Cartesian
0.000 2.425 0.000 Ti
2.425 0.000 0.000 Ti
0.000 0.000 1.475 Sn
2.425 2.425 0.000 B
2.425 2.425 1.475 C

Record 18
Ce2Sb4Pd3Rh | the Alexandria database | PBE | optimized geometry; ΔE_f (raw) = -0.750 eV/atom
1.0
4.657 0.000 0.000
0.000 4.657 0.000
0.000 0.000 10.429
Ce Sb Pd Rh
2 4 3 1
Cartesian
0.000 2.329 2.486 Ce
2.329 0.000 7.944 Ce
0.000 0.000 5.215 Sb
0.000 2.329 9.123 Sb
2.329 0.000 1.306 Sb
2.329 2.329 5.215 Sb
0.000 0.000 0.000 Pd
0.000 2.329 6.541 Pd
2.329 0.000 3.888 Pd
2.329 2.329 0.000 Rh

Record 19
NiGeB | the Alexandria database | PBE | optimized geometry; E above lowest polymorph = 0.02 eV/f.u.
1.0
2.651 -1.558 0.000
2.651 1.558 0.000
-2.640 0.000 8.790
Ni Ge B
2 2 2
Cartesian
0.000 0.000 0.000 Ni
-0.005 0.000 2.530 Ni
0.932 0.000 6.952 Ge
3.566 0.000 4.368 Ge
1.767 0.000 1.264 B
3.531 0.000 1.266 B

Record 20
TbScAgPt | the Alexandria database | PBE | optimized geometry; E above lowest polymorph = 0.00 eV/f.u.
1.0
3.458 0.000 0.000
0.000 3.458 0.000
0.000 0.000 7.012
Tb Sc Ag Pt
1 1 1 1
Cartesian
0.000 0.000 0.000 Tb
0.000 0.000 3.708 Sc
1.729 1.729 2.033 Ag
1.729 1.729 5.196 Pt

no.,calculated volume (Å³/cell)
1,67
2,93
3,82
4,123
5,175
6,119
7,231
8,294
9,123
10,170
11,114
12,190
13,114
14,228
15,209
16,193
17,69
18,226
19,73
20,84